# KErFeF6 | Alexandria | PBE with a Hubbard U | optimized geometry
data_KErFeF6
_cell_length_a 5.7715
_cell_length_b 5.7715
_cell_length_c 11.0873
_cell_angle_alpha 90.00
_cell_angle_beta 90.00
_cell_angle_gamma 120.00
_symmetry_space_group_name_H-M 'P -3 1 c'
_symmetry_Int_Tables_number 163
_symmetry_space_group_name_Hall '-P 3 2c'
loop_
_atom_site_label
_atom_site_type_symbol
_atom_site_fract_x
_atom_site_fract_y
_atom_site_fract_z
K1 K 0.0000 0.0000 0.0000
Er1 Er 0.3333 0.6667 0.2500
Fe1 Fe 0.3333 0.6667 0.7500
F1 F 0.0078 0.3781 0.6476
# * total DFT energy (no corrections): -5.66 eV per atom

# NaErFeF6 | Alexandria | PBE with a Hubbard U | optimized geometry
data_NaErFeF6
_cell_length_a 5.6757
_cell_length_b 5.6757
_cell_length_c 9.6386
_cell_angle_alpha 90.00
_cell_angle_beta 90.00
_cell_angle_gamma 120.00
_symmetry_space_group_name_H-M 'P -3 1 c'
_symmetry_Int_Tables_number 163
_symmetry_space_group_name_Hall '-P 3 2c'
loop_
_atom_site_label
_atom_site_type_symbol
_atom_site_fract_x
_atom_site_fract_y
_atom_site_fract_z
Na1 Na 0.0000 0.0000 0.0000
Er1 Er 0.3333 0.6667 0.2500
Fe1 Fe 0.3333 0.6667 0.7500
F1 F 0.0090 0.3584 0.6358
# * total DFT energy (no corrections): -5.65 eV per atom

# RbErFeF6 | Alexandria | PBE with a Hubbard U | optimized geometry
data_RbErFeF6
_cell_length_a 5.733
_cell_length_b 5.745
_cell_length_c 5.997
_cell_angle_alpha 90.04
_cell_angle_beta 90.12
_cell_angle_gamma 119.62
_symmetry_space_group_name_H-M 'P 1'
_symmetry_Int_Tables_number 1
_symmetry_space_group_name_Hall 'P 1'
loop_
_atom_site_label
_atom_site_type_symbol
_atom_site_fract_x
_atom_site_fract_y
_atom_site_fract_z
Rb1 Rb 0.000 0.000 0.000
Er1 Er 0.666 0.335 0.500
Fe1 Fe 0.334 0.667 0.500
F1 F 0.003 0.386 0.697
F2 F 0.009 0.625 0.311
F3 F 0.371 0.389 0.309
F4 F 0.373 0.990 0.687
F5 F 0.609 0.625 0.693
F6 F 0.613 0.997 0.303
# * total DFT energy (no corrections): -5.60 eV per atom

Copy entry 2 word for word.
# NaErFeF6 | Alexandria | PBE with a Hubbard U | optimized geometry
data_NaErFeF6
_cell_length_a 5.6757
_cell_length_b 5.6757
_cell_length_c 9.6386
_cell_angle_alpha 90.00
_cell_angle_beta 90.00
_cell_angle_gamma 120.00
_symmetry_space_group_name_H-M 'P -3 1 c'
_symmetry_Int_Tables_number 163
_symmetry_space_group_name_Hall '-P 3 2c'
loop_
_atom_site_label
_atom_site_type_symbol
_atom_site_fract_x
_atom_site_fract_y
_atom_site_fract_z
Na1 Na 0.0000 0.0000 0.0000
Er1 Er 0.3333 0.6667 0.2500
Fe1 Fe 0.3333 0.6667 0.7500
F1 F 0.0090 0.3584 0.6358
# * total DFT energy (no corrections): -5.65 eV per atom

> total DFT energy (no corrections) of number 2 (NaErFeF6)?

-5.65 eV per atom

> Which value of total DFT energy (no corrections) does entry 1 give?

-5.66 eV per atom